1.
# NpSnSb PBE relaxed
data_NpSnSb
_symmetry_space_group_name_H-M 'P 1'
_symmetry_Int_Tables_number 1
_cell_length_a 4.349
_cell_length_b 4.432
_cell_length_c 8.318
_cell_angle_alpha 105.45
_cell_angle_beta 90.00
_cell_angle_gamma 90.00
loop_
_symmetry_equiv_pos_as_xyz
'x,y,z'
loop_
_atom_site_label
_atom_site_fract_x
_atom_site_fract_y
_atom_site_fract_z
Sn1 0.250 0.749 0.499
Sn2 0.750 0.251 0.501
Sb1 0.250 0.427 0.855
Sb2 0.750 0.573 0.145
Np1 0.750 0.909 0.818
Np2 0.250 0.091 0.182
# DOS(E_F)	17.56	states/eV/cell
# E_form (uncorrected)	-187	meV/atom
# relative energy among the computed polymorphs	0.000	eV per atom

***

2.
# EuGa2Fe PBE relaxed
data_EuGa2Fe
_symmetry_space_group_name_H-M 'P 1'
_symmetry_Int_Tables_number 1
_cell_length_a 4.160
_cell_length_b 4.160
_cell_length_c 5.997
_cell_angle_alpha 69.70
_cell_angle_beta 69.70
_cell_angle_gamma 60.00
loop_
_symmetry_equiv_pos_as_xyz
'x,y,z'
loop_
_atom_site_label
_atom_site_fract_x
_atom_site_fract_y
_atom_site_fract_z
Ga1 0.291 0.291 0.128
Ga2 0.709 0.709 0.872
Fe1 0.000 0.000 0.000
Eu1 0.500 0.500 0.500
# DOS(E_F)	10.14	states/eV/cell
# ΔH_f (0 K)	-0.79	eV/f.u.

***

Number 1: size of the total moment 4.20 μB/f.u., V 25.8 Å³/atom, VASP energy -7.209 eV/atom. Number 2: size of the total moment 8.99 μB/f.u., V 20.6 Å³/atom, VASP energy -6.394 eV/atom.